*A*
VASP calculation (PBE) on a relaxed structure of Ir2SI.

```
data_Ir2SI
_chemical_formula_sum 'Ir8 S4 I4'
_space_group_name_H-M_alt 'I -4 2 d'
_space_group_IT_number 122
_space_group_name_Hall 'I -4 2bw'
_cell_length_a 4.892
_cell_length_b 4.892
_cell_length_c 14.077
_cell_angle_alpha 90.00
_cell_angle_beta 90.00
_cell_angle_gamma 90.00
loop_
_atom_site_label
_atom_site_type_symbol
_atom_site_fract_x
_atom_site_fract_y
_atom_site_fract_z
Ir1 Ir 0.145 0.250 0.125
S1 S 0.000 0.000 0.000
I1 I 0.000 0.000 0.500
```

Computed properties:
D(E_F)	5.39	states/eV/cell

*B*
VASP calculation (PBE) on a relaxed structure of Ir2SI.

```
data_Ir2SI
_chemical_formula_sum 'Ir8 S4 I4'
_space_group_name_H-M_alt 'F m -3 m'
_space_group_IT_number 225
_space_group_name_Hall '-F 4 2 3'
_cell_length_a 6.493
_cell_length_b 6.493
_cell_length_c 6.493
_cell_angle_alpha 90.00
_cell_angle_beta 90.00
_cell_angle_gamma 90.00
loop_
_atom_site_label
_atom_site_type_symbol
_atom_site_fract_x
_atom_site_fract_y
_atom_site_fract_z
Ir1 Ir 0.250 0.250 0.250
S1 S 0.000 0.000 0.000
I1 I 0.000 0.000 0.500
```

Computed properties:
D(E_F)	23.71	states/eV/cell

Which structure is the most stable? The one labeled *A*.

*A*
VASP calculation (PBE) on a relaxed structure of SbIrSI2.

```
data_SbIrSI2
_chemical_formula_sum 'Sb1 Ir1 S1 I2'
_space_group_name_H-M_alt 'P 4/m m m'
_space_group_IT_number 123
_space_group_name_Hall '-P 4 2'
_cell_length_a 5.425
_cell_length_b 5.425
_cell_length_c 5.075
_cell_angle_alpha 90.00
_cell_angle_beta 90.00
_cell_angle_gamma 90.00
loop_
_atom_site_label
_atom_site_type_symbol
_atom_site_fract_x
_atom_site_fract_y
_atom_site_fract_z
Sb1 Sb 0.000 0.000 0.000
Ir1 Ir 0.000 0.000 0.500
S1 S 0.500 0.500 0.000
I1 I 0.000 0.500 0.500
```

Computed properties:
D(E_F)	6.73	states/eV/cell

*B*
VASP calculation (PBE) on a relaxed structure of SbIrSI2.

```
data_SbIrSI2
_chemical_formula_sum 'Sb1 Ir1 S1 I2'
_space_group_name_H-M_alt 'P 4/m m m'
_space_group_IT_number 123
_space_group_name_Hall '-P 4 2'
_cell_length_a 5.255
_cell_length_b 5.255
_cell_length_c 5.360
_cell_angle_alpha 90.00
_cell_angle_beta 90.00
_cell_angle_gamma 90.00
loop_
_atom_site_label
_atom_site_type_symbol
_atom_site_fract_x
_atom_site_fract_y
_atom_site_fract_z
Sb1 Sb 0.000 0.000 0.000
Ir1 Ir 0.500 0.500 0.000
S1 S 0.000 0.000 0.500
I1 I 0.000 0.500 0.500
```

Computed properties:
D(E_F)	8.61	states/eV/cell

Which structure is the most stable? The one labeled *A*.

*A*
VASP calculation (PBE) on a relaxed structure of TeIrSI2.

```
data_TeIrSI2
_chemical_formula_sum 'Te1 Ir1 S1 I2'
_space_group_name_H-M_alt 'P 4/m m m'
_space_group_IT_number 123
_space_group_name_Hall '-P 4 2'
_cell_length_a 5.339
_cell_length_b 5.339
_cell_length_c 5.308
_cell_angle_alpha 90.00
_cell_angle_beta 90.00
_cell_angle_gamma 90.00
loop_
_atom_site_label
_atom_site_type_symbol
_atom_site_fract_x
_atom_site_fract_y
_atom_site_fract_z
Te1 Te 0.000 0.000 0.000
Ir1 Ir 0.500 0.500 0.000
S1 S 0.000 0.000 0.500
I1 I 0.000 0.500 0.500
```

Computed properties:
D(E_F)	9.19	states/eV/cell

*B*
VASP calculation (PBE) on a relaxed structure of TeIrSI2.

```
data_TeIrSI2
_chemical_formula_sum 'Te1 Ir1 S1 I2'
_space_group_name_H-M_alt 'P 4/m m m'
_space_group_IT_number 123
_space_group_name_Hall '-P 4 2'
_cell_length_a 5.444
_cell_length_b 5.444
_cell_length_c 5.097
_cell_angle_alpha 90.00
_cell_angle_beta 90.00
_cell_angle_gamma 90.00
loop_
_atom_site_label
_atom_site_type_symbol
_atom_site_fract_x
_atom_site_fract_y
_atom_site_fract_z
Te1 Te 0.000 0.000 0.000
Ir1 Ir 0.000 0.000 0.500
S1 S 0.500 0.500 0.000
I1 I 0.000 0.500 0.500
```

Computed properties:
D(E_F)	6.45	states/eV/cell

Which structure is the most stable? The one labeled *B*.

*A*
VASP calculation (PBE) on a relaxed structure of ScSbIrI2.

```
data_ScSbIrI2
_chemical_formula_sum 'Sc1 Sb1 Ir1 I2'
_space_group_name_H-M_alt 'P 4/m m m'
_space_group_IT_number 123
_space_group_name_Hall '-P 4 2'
_cell_length_a 5.480
_cell_length_b 5.480
_cell_length_c 5.102
_cell_angle_alpha 90.00
_cell_angle_beta 90.00
_cell_angle_gamma 90.00
loop_
_atom_site_label
_atom_site_type_symbol
_atom_site_fract_x
_atom_site_fract_y
_atom_site_fract_z
Sc1 Sc 0.000 0.000 0.000
Sb1 Sb 0.500 0.500 0.000
Ir1 Ir 0.500 0.500 0.500
I1 I 0.000 0.500 0.500
```

Computed properties:
D(E_F)	5.47	states/eV/cell

*B*
VASP calculation (PBE) on a relaxed structure of ScSbIrI2.

```
data_ScSbIrI2
_chemical_formula_sum 'Sc1 Sb1 Ir1 I2'
_space_group_name_H-M_alt 'P 4/m m m'
_space_group_IT_number 123
_space_group_name_Hall '-P 4 2'
_cell_length_a 5.452
_cell_length_b 5.452
_cell_length_c 5.939
_cell_angle_alpha 90.00
_cell_angle_beta 90.00
_cell_angle_gamma 90.00
loop_
_atom_site_label
_atom_site_type_symbol
_atom_site_fract_x
_atom_site_fract_y
_atom_site_fract_z
Sc1 Sc 0.000 0.000 0.000
Sb1 Sb 0.000 0.000 0.500
Ir1 Ir 0.500 0.500 0.500
I1 I 0.000 0.500 0.000
```

Computed properties:
D(E_F)	4.49	states/eV/cell

Which structure is the most stable? The one labeled *A*.

*A*
VASP calculation (PBE) on a relaxed structure of Sb2IrSeI.

```
data_Sb2IrSeI
_chemical_formula_sum 'Sb2 Ir1 Se1 I1'
_space_group_name_H-M_alt 'P 4/m m m'
_space_group_IT_number 123
_space_group_name_Hall '-P 4 2'
_cell_length_a 5.159
_cell_length_b 5.159
_cell_length_c 5.459
_cell_angle_alpha 90.00
_cell_angle_beta 90.00
_cell_angle_gamma 90.00
loop_
_atom_site_label
_atom_site_type_symbol
_atom_site_fract_x
_atom_site_fract_y
_atom_site_fract_z
Sb1 Sb 0.000 0.500 0.000
Ir1 Ir 0.000 0.000 0.000
Se1 Se 0.500 0.500 0.500
I1 I 0.000 0.000 0.500
```

Computed properties:
D(E_F)	6.47	states/eV/cell

*B*
VASP calculation (PBE) on a relaxed structure of Sb2IrSeI.

```
data_Sb2IrSeI
_chemical_formula_sum 'Sb2 Ir1 Se1 I1'
_space_group_name_H-M_alt 'P 4/m m m'
_space_group_IT_number 123
_space_group_name_Hall '-P 4 2'
_cell_length_a 5.329
_cell_length_b 5.329
_cell_length_c 5.449
_cell_angle_alpha 90.00
_cell_angle_beta 90.00
_cell_angle_gamma 90.00
loop_
_atom_site_label
_atom_site_type_symbol
_atom_site_fract_x
_atom_site_fract_y
_atom_site_fract_z
Sb1 Sb 0.000 0.500 0.000
Ir1 Ir 0.000 0.000 0.500
Se1 Se 0.500 0.500 0.000
I1 I 0.500 0.500 0.500
```

Computed properties:
D(E_F)	5.67	states/eV/cell

Which structure is the most stable? The one labeled *A*.

*A*
VASP calculation (PBE) on a relaxed structure of SiSb2IrI.

```
data_SiSb2IrI
_chemical_formula_sum 'Si1 Sb2 Ir1 I1'
_space_group_name_H-M_alt 'P 4/m m m'
_space_group_IT_number 123
_space_group_name_Hall '-P 4 2'
_cell_length_a 5.095
_cell_length_b 5.095
_cell_length_c 5.648
_cell_angle_alpha 90.00
_cell_angle_beta 90.00
_cell_angle_gamma 90.00
loop_
_atom_site_label
_atom_site_type_symbol
_atom_site_fract_x
_atom_site_fract_y
_atom_site_fract_z
Si1 Si 0.000 0.000 0.000
Sb1 Sb 0.000 0.500 0.500
Ir1 Ir 0.500 0.500 0.500
I1 I 0.500 0.500 0.000
```

Computed properties:
D(E_F)	4.86	states/eV/cell

*B*
VASP calculation (PBE) on a relaxed structure of SiSb2IrI.

```
data_SiSb2IrI
_chemical_formula_sum 'Si1 Sb2 Ir1 I1'
_space_group_name_H-M_alt 'P 4/m m m'
_space_group_IT_number 123
_space_group_name_Hall '-P 4 2'
_cell_length_a 5.111
_cell_length_b 5.111
_cell_length_c 5.097
_cell_angle_alpha 90.00
_cell_angle_beta 90.00
_cell_angle_gamma 90.00
loop_
_atom_site_label
_atom_site_type_symbol
_atom_site_fract_x
_atom_site_fract_y
_atom_site_fract_z
Si1 Si 0.000 0.000 0.000
Sb1 Sb 0.000 0.500 0.000
Ir1 Ir 0.500 0.500 0.500
I1 I 0.000 0.000 0.500
```

Computed properties:
D(E_F)	4.13	states/eV/cell

Which structure is the most stable? The one labeled *A*.

*A*
VASP calculation (PBE) on a relaxed structure of SrSb2IrI.

```
data_SrSb2IrI
_chemical_formula_sum 'Sr1 Sb2 Ir1 I1'
_space_group_name_H-M_alt 'P 4/m m m'
_space_group_IT_number 123
_space_group_name_Hall '-P 4 2'
_cell_length_a 6.163
_cell_length_b 6.163
_cell_length_c 5.952
_cell_angle_alpha 90.00
_cell_angle_beta 90.00
_cell_angle_gamma 90.00
loop_
_atom_site_label
_atom_site_type_symbol
_atom_site_fract_x
_atom_site_fract_y
_atom_site_fract_z
Sr1 Sr 0.000 0.000 0.000
Sb1 Sb 0.000 0.500 0.000
Ir1 Ir 0.500 0.500 0.500
I1 I 0.000 0.000 0.500
```

Computed properties:
D(E_F)	15.78	states/eV/cell

*B*
VASP calculation (PBE) on a relaxed structure of SrSb2IrI.

```
data_SrSb2IrI
_chemical_formula_sum 'Sr1 Sb2 Ir1 I1'
_space_group_name_H-M_alt 'P 4/m m m'
_space_group_IT_number 123
_space_group_name_Hall '-P 4 2'
_cell_length_a 5.196
_cell_length_b 5.196
_cell_length_c 5.875
_cell_angle_alpha 90.00
_cell_angle_beta 90.00
_cell_angle_gamma 90.00
loop_
_atom_site_label
_atom_site_type_symbol
_atom_site_fract_x
_atom_site_fract_y
_atom_site_fract_z
Sr1 Sr 0.000 0.000 0.000
Sb1 Sb 0.000 0.500 0.500
Ir1 Ir 0.500 0.500 0.500
I1 I 0.500 0.500 0.000
```

Computed properties:
D(E_F)	4.94	states/eV/cell

Which structure is the most stable? The one labeled *B*.

*A*
VASP calculation (PBE) on a relaxed structure of TaSbIrI2.

```
data_TaSbIrI2
_chemical_formula_sum 'Ta1 Sb1 Ir1 I2'
_space_group_name_H-M_alt 'P 4/m m m'
_space_group_IT_number 123
_space_group_name_Hall '-P 4 2'
_cell_length_a 5.315
_cell_length_b 5.315
_cell_length_c 5.581
_cell_angle_alpha 90.00
_cell_angle_beta 90.00
_cell_angle_gamma 90.00
loop_
_atom_site_label
_atom_site_type_symbol
_atom_site_fract_x
_atom_site_fract_y
_atom_site_fract_z
Ta1 Ta 0.000 0.000 0.000
Sb1 Sb 0.000 0.000 0.500
Ir1 Ir 0.500 0.500 0.500
I1 I 0.000 0.500 0.000
```

Computed properties:
D(E_F)	9.05	states/eV/cell

*B*
VASP calculation (PBE) on a relaxed structure of TaSbIrI2.

```
data_TaSbIrI2
_chemical_formula_sum 'Ta1 Sb1 Ir1 I2'
_space_group_name_H-M_alt 'P 4/m m m'
_space_group_IT_number 123
_space_group_name_Hall '-P 4 2'
_cell_length_a 5.371
_cell_length_b 5.371
_cell_length_c 5.082
_cell_angle_alpha 90.00
_cell_angle_beta 90.00
_cell_angle_gamma 90.00
loop_
_atom_site_label
_atom_site_type_symbol
_atom_site_fract_x
_atom_site_fract_y
_atom_site_fract_z
Ta1 Ta 0.000 0.000 0.000
Sb1 Sb 0.500 0.500 0.000
Ir1 Ir 0.500 0.500 0.500
I1 I 0.000 0.500 0.500
```

Computed properties:
D(E_F)	5.92	states/eV/cell

Which structure is the most stable? The one labeled *B*.

*A*
VASP calculation (PBE) on a relaxed structure of TaSb2IrI.

```
data_TaSb2IrI
_chemical_formula_sum 'Ta1 Sb2 Ir1 I1'
_space_group_name_H-M_alt 'P 4/m m m'
_space_group_IT_number 123
_space_group_name_Hall '-P 4 2'
_cell_length_a 5.095
_cell_length_b 5.095
_cell_length_c 5.300
_cell_angle_alpha 90.00
_cell_angle_beta 90.00
_cell_angle_gamma 90.00
loop_
_atom_site_label
_atom_site_type_symbol
_atom_site_fract_x
_atom_site_fract_y
_atom_site_fract_z
Ta1 Ta 0.000 0.000 0.000
Sb1 Sb 0.000 0.500 0.500
Ir1 Ir 0.500 0.500 0.500
I1 I 0.500 0.500 0.000
```

Computed properties:
D(E_F)	7.10	states/eV/cell

*B*
VASP calculation (PBE) on a relaxed structure of TaSb2IrI.

```
data_TaSb2IrI
_chemical_formula_sum 'Ta1 Sb2 Ir1 I1'
_space_group_name_H-M_alt 'P 4/m m m'
_space_group_IT_number 123
_space_group_name_Hall '-P 4 2'
_cell_length_a 5.357
_cell_length_b 5.357
_cell_length_c 5.259
_cell_angle_alpha 90.00
_cell_angle_beta 90.00
_cell_angle_gamma 90.00
loop_
_atom_site_label
_atom_site_type_symbol
_atom_site_fract_x
_atom_site_fract_y
_atom_site_fract_z
Ta1 Ta 0.000 0.000 0.000
Sb1 Sb 0.000 0.500 0.000
Ir1 Ir 0.500 0.500 0.500
I1 I 0.000 0.000 0.500
```

Computed properties:
D(E_F)	7.85	states/eV/cell

Which structure is the most stable? The one labeled *A*.

*A*
VASP calculation (PBE) on a relaxed structure of TcSb2IrI.

```
data_TcSb2IrI
_chemical_formula_sum 'Tc1 Sb2 Ir1 I1'
_space_group_name_H-M_alt 'P 4/m m m'
_space_group_IT_number 123
_space_group_name_Hall '-P 4 2'
_cell_length_a 5.110
_cell_length_b 5.110
_cell_length_c 5.568
_cell_angle_alpha 90.00
_cell_angle_beta 90.00
_cell_angle_gamma 90.00
loop_
_atom_site_label
_atom_site_type_symbol
_atom_site_fract_x
_atom_site_fract_y
_atom_site_fract_z
Tc1 Tc 0.000 0.000 0.000
Sb1 Sb 0.000 0.500 0.500
Ir1 Ir 0.500 0.500 0.500
I1 I 0.500 0.500 0.000
```

Computed properties:
D(E_F)	3.80	states/eV/cell

*B*
VASP calculation (PBE) on a relaxed structure of TcSb2IrI.

```
data_TcSb2IrI
_chemical_formula_sum 'Tc1 Sb2 Ir1 I1'
_space_group_name_H-M_alt 'P 4/m m m'
_space_group_IT_number 123
_space_group_name_Hall '-P 4 2'
_cell_length_a 5.010
_cell_length_b 5.010
_cell_length_c 5.348
_cell_angle_alpha 90.00
_cell_angle_beta 90.00
_cell_angle_gamma 90.00
loop_
_atom_site_label
_atom_site_type_symbol
_atom_site_fract_x
_atom_site_fract_y
_atom_site_fract_z
Tc1 Tc 0.000 0.000 0.000
Sb1 Sb 0.000 0.500 0.000
Ir1 Ir 0.500 0.500 0.500
I1 I 0.000 0.000 0.500
```

Computed properties:
D(E_F)	4.67	states/eV/cell

Which structure is the most stable? The one labeled *A*.

*A*
VASP calculation (PBE) on a relaxed structure of SbTe2IrI.

```
data_SbTe2IrI
_chemical_formula_sum 'Sb1 Te2 Ir1 I1'
_space_group_name_H-M_alt 'P 4/m m m'
_space_group_IT_number 123
_space_group_name_Hall '-P 4 2'
_cell_length_a 5.326
_cell_length_b 5.326
_cell_length_c 5.281
_cell_angle_alpha 90.00
_cell_angle_beta 90.00
_cell_angle_gamma 90.00
loop_
_atom_site_label
_atom_site_type_symbol
_atom_site_fract_x
_atom_site_fract_y
_atom_site_fract_z
Sb1 Sb 0.000 0.000 0.000
Te1 Te 0.000 0.500 0.500
Ir1 Ir 0.000 0.000 0.500
I1 I 0.500 0.500 0.000
```

Computed properties:
D(E_F)	6.48	states/eV/cell

*B*
VASP calculation (PBE) on a relaxed structure of SbTe2IrI.

```
data_SbTe2IrI
_chemical_formula_sum 'Sb1 Te2 Ir1 I1'
_space_group_name_H-M_alt 'P 4/m m m'
_space_group_IT_number 123
_space_group_name_Hall '-P 4 2'
_cell_length_a 5.268
_cell_length_b 5.268
_cell_length_c 5.349
_cell_angle_alpha 90.00
_cell_angle_beta 90.00
_cell_angle_gamma 90.00
loop_
_atom_site_label
_atom_site_type_symbol
_atom_site_fract_x
_atom_site_fract_y
_atom_site_fract_z
Sb1 Sb 0.000 0.000 0.000
Te1 Te 0.000 0.500 0.500
Ir1 Ir 0.500 0.500 0.500
I1 I 0.500 0.500 0.000
```

Computed properties:
D(E_F)	5.23	states/eV/cell

Which structure is the most stable? The one labeled *A*.

*A*
VASP calculation (PBE) on a relaxed structure of TlSb2IrI.

```
data_TlSb2IrI
_chemical_formula_sum 'Tl1 Sb2 Ir1 I1'
_space_group_name_H-M_alt 'P 4/m m m'
_space_group_IT_number 123
_space_group_name_Hall '-P 4 2'
_cell_length_a 5.645
_cell_length_b 5.645
_cell_length_c 5.802
_cell_angle_alpha 90.00
_cell_angle_beta 90.00
_cell_angle_gamma 90.00
loop_
_atom_site_label
_atom_site_type_symbol
_atom_site_fract_x
_atom_site_fract_y
_atom_site_fract_z
Tl1 Tl 0.000 0.000 0.000
Sb1 Sb 0.000 0.500 0.000
Ir1 Ir 0.500 0.500 0.500
I1 I 0.000 0.000 0.500
```

Computed properties:
D(E_F)	6.45	states/eV/cell

*B*
VASP calculation (PBE) on a relaxed structure of TlSb2IrI.

```
data_TlSb2IrI
_chemical_formula_sum 'Tl1 Sb2 Ir1 I1'
_space_group_name_H-M_alt 'P 4/m m m'
_space_group_IT_number 123
_space_group_name_Hall '-P 4 2'
_cell_length_a 5.160
_cell_length_b 5.160
_cell_length_c 6.021
_cell_angle_alpha 90.00
_cell_angle_beta 90.00
_cell_angle_gamma 90.00
loop_
_atom_site_label
_atom_site_type_symbol
_atom_site_fract_x
_atom_site_fract_y
_atom_site_fract_z
Tl1 Tl 0.000 0.000 0.000
Sb1 Sb 0.000 0.500 0.500
Ir1 Ir 0.500 0.500 0.500
I1 I 0.500 0.500 0.000
```

Computed properties:
D(E_F)	5.48	states/eV/cell

Which structure is the most stable? The one labeled *B*.